A plane-wave DFT calculation with PBE was carried out for a relaxed structure of MgScAl4.

Output
total energy = -4.031 eV per atom
total magnetization = 0.00 μB/f.u.
ΔE_f = -0.21 eV/atom
DOS(E_F) = 4.48 states/eV/f.u.

Cell: 5.388 5.388 5.388 Å, 60.00 60.00 60.00°
Element x y z (fractional)
Mg1 0.000 0.000 0.000
Sc1 0.750 0.750 0.750
Al1 0.375 0.375 0.375
Al2 0.375 0.375 0.874
Al3 0.375 0.874 0.375
Al4 0.874 0.375 0.375